--- one ---
VASP calculation (PBE) on an optimized crystal structure of ZnNi3S.

Output
ρ: 6.489 g/cm³
Spin magnetization: 0.00 μB per formula unit

abc: 4.121 4.121 4.121
angles: 90.00 90.00 90.00
Space group Pm-3m (No. 221)
Symmetry-distinct sites (fractional):
1 Zn 0.000 0.000 0.000 (multiplicity 1)
2 Ni 0.000 0.500 0.500 (multiplicity 3)
3 S 0.500 0.500 0.500 (multiplicity 1)

--- two ---
VASP calculation (PBE) on an optimized crystal structure of ZnNi3S.

Output
ρ: 5.555 g/cm³
Spin magnetization: 1.27 μB per formula unit

abc: 4.340 4.340 4.340
angles: 90.00 90.00 90.00
Space group Pm-3m (No. 221)
Symmetry-distinct sites (fractional):
1 Zn 0.000 0.000 0.000 (multiplicity 1)
2 Ni 0.000 0.000 0.500 (multiplicity 3)
3 S 0.500 0.500 0.500 (multiplicity 1)

one wins, 1030 meV per atom ahead of the next structure.